Compound: PmCoSi3
Source: the Alexandria database
Functional: GGA-PBE
Structure: optimized geometry

Values from the calculation:
As for the final energy: -31.489 eV/cell. Its space-group type is No. 107. Its relative energy among the computed polymorphs is 0.0 kJ/mol of formula units. The uncorrected formation energy comes out at -673 meV per atom.

abc: 4.1132 4.1132 5.6100
angles: 111.51 111.51 90.00
With the nearest neighbours (Å) after each atom.
Positions (direct):
Pm 0.9998 0.9998 0.9995  12 Si 3.00-3.21, 5 Co 3.27-3.29
Co 0.6564 0.6564 0.3127  5 Si 2.25-2.27
Si 0.2560 0.7560 0.5120  2 Co 2.27
Si 0.7560 0.2560 0.5120  2 Co 2.27
Si 0.4222 0.4222 0.8443  1 Co 2.25